1.
Material: MnFeTc5
Method: DFT, PBE
State: optimized geometry

For the total DFT energy (no corrections), the calculation gives -9.72 eV per atom. Its space group is C2/c.

Unit cell a=5.1978 b=5.1978 c=9.2199 alpha=100.34 beta=100.34 gamma=55.17
Fractional coordinates of all 14 atoms:
Mn 0.0000 0.0000 0.0000
Mn 0.0000 0.0000 0.5000
Fe 0.2509 0.7491 0.7500
Fe 0.7491 0.2509 0.2500
Tc 0.2337 0.2400 0.1879
Tc 0.2400 0.2337 0.6879
Tc 0.2495 0.7505 0.2500
Tc 0.3563 0.3605 0.9725
Tc 0.3605 0.3563 0.4725
Tc 0.6395 0.6437 0.5275
Tc 0.6437 0.6395 0.0275
Tc 0.7505 0.2495 0.7500
Tc 0.7600 0.7663 0.3121
Tc 0.7663 0.7600 0.8121



2.
Material: CeAlF5
Method: DFT, PBE
State: optimized geometry

Its space group is C2/c. The formation energy without anion corrections comes out at -3.429 eV per atom.

Unit cell a=5.7626 b=5.7626 c=7.1500 alpha=107.44 beta=107.44 gamma=77.17
Fractional coordinates of all 14 atoms:
Ce 0.0243 0.9757 0.7500
Ce 0.9757 0.0243 0.2500
Al 0.5000 0.5000 0.0000
Al 0.5000 0.5000 0.5000
F 0.2185 0.7095 0.0315
F 0.2438 0.3297 0.3865
F 0.2905 0.7815 0.4685
F 0.3297 0.2438 0.8865
F 0.4329 0.5671 0.7500
F 0.5671 0.4329 0.2500
F 0.6703 0.7562 0.1135
F 0.7095 0.2185 0.5315
F 0.7562 0.6703 0.6135
F 0.7815 0.2905 0.9685



Number 1: DOS(E_F) 14.8 states/eV per cell. Number 2: DOS(E_F) 15.8 states/eV per cell.